Compound: Ce5Nd3Se8
Source: the Alexandria database
Functional: PBE
Structure: relaxed

Formation energy without anion corrections: -1.833 eV/atom
Crystal system: trigonal
Uncorrected energy: -303.509 eV/cell

abc: 8.4180 8.4180 20.6868
angles: 90.00 90.00 120.00
Space group R-3m (No. 166, hexagonal axes)
Symmetry-distinct sites (fractional):
Ce: 0.0000 0.0000 0.0000
Ce: 0.0000 0.0000 0.5000
Ce: 0.0000 0.5000 0.0000
Nd: 0.0000 0.5000 0.5000
Se: 0.0000 0.0000 0.2508
Se: 0.0009 0.5004 0.2504

=====

Compound: Ce2Nd2Se5
Source: the Alexandria database
Functional: PBE
Structure: relaxed

Formation energy without anion corrections: -1.776 eV/atom
Crystal system: orthorhombic
Uncorrected energy: -219.236 eV/cell

abc: 14.9357 7.9645 7.9557
angles: 90.00 90.00 90.00
Space group Cmce (No. 64)
Symmetry-distinct sites (fractional):
Ce: 0.1971 0.0000 0.0000
Nd: 0.0000 0.1531 0.3442
Se: 0.0000 0.0000 0.0000
Se: 0.1388 0.1589 0.6530

=====

Compound: Ce3Nd2Se8
Source: the Alexandria database
Functional: PBE
Structure: relaxed

Formation energy without anion corrections: -1.701 eV/atom
Crystal system: orthorhombic
Uncorrected energy: -154.660 eV/cell

abc: 10.1553 14.3583 5.0223
angles: 90.00 90.00 90.00
Space group Cmmm (No. 65)
Symmetry-distinct sites (fractional):
Ce: 0.0000 0.0000 0.0000
Ce: 0.2253 0.5000 0.5000
Nd: 0.0000 0.2687 0.0000
Se: 0.0000 0.1159 0.5000
Se: 0.0000 0.3735 0.5000
Se: 0.2381 0.1228 0.0000

=====

Compound: Ce3NdSe4
Source: the Alexandria database
Functional: PBE
Structure: relaxed

Formation energy without anion corrections: -1.828 eV/atom
Crystal system: orthorhombic
Uncorrected energy: -102.265 eV/cell

abc: 8.4365 11.9061 4.1997
angles: 90.00 90.00 90.00
Space group Cmmm (No. 65)
Symmetry-distinct sites (fractional):
Ce: 0.0000 0.0000 0.0000
Ce: 0.2500 0.2500 0.5000
Nd: 0.0000 0.5000 0.0000
Se: 0.0000 0.2495 0.0000
Se: 0.2488 0.0000 0.5000

=====

Compound: Ce2NdSe3
Source: the Alexandria database
Functional: PBE
Structure: relaxed

Formation energy without anion corrections: -1.829 eV/atom
Crystal system: orthorhombic
Uncorrected energy: -76.129 eV/cell

abc: 4.2039 5.9541 12.6674
angles: 90.00 90.00 90.00
Space group Immm (No. 71)
Symmetry-distinct sites (fractional):
Ce: 0.0000 0.0000 0.1653
Nd: 0.0000 0.0000 0.5000
Se: 0.0000 0.5000 0.1682
Se: 0.0000 0.5000 0.5000

=====

Compound: Ce4NdSe5
Source: the Alexandria database
Functional: PBE
Structure: relaxed

Formation energy without anion corrections: -1.823 eV/atom
Crystal system: tetragonal
Uncorrected energy: -128.311 eV/cell

abc: 4.2072 4.2072 29.7451
angles: 90.00 90.00 90.00
Space group I4/mmm (No. 139)
Symmetry-distinct sites (fractional):
Ce: 0.0000 0.0000 0.1001
Ce: 0.0000 0.0000 0.2995
Nd: 0.0000 0.0000 0.5000
Se: 0.0000 0.0000 0.0000
Se: 0.0000 0.0000 0.1998
Se: 0.0000 0.0000 0.3998